# 1
Entry from the Alexandria database: a PBEsol-optimized structure of Ho2PdRu (SCAN).

Geometry as extended XYZ:
```
4
Lattice="4.771 0.000 0.000 2.386 4.132 0.000 2.386 1.377 3.896" Properties=species:S:1:pos:R:3 pbc="T T T"
Ru 0.000 0.000 0.000
Ho 2.386 1.377 0.974
Ho 7.157 4.132 2.922
Pd 4.771 2.755 1.948
```

Results
Calculated formation energy (eV/atom): -0.776
Energy (eV/atom): -42.1698
Size of the total moment (μB per cell): 0.0
DOS at the Fermi energy (states/eV per atom): 0.397

=====

# 2
Entry from the Alexandria database: a PBEsol-optimized structure of ScTaTl2Si (SCAN).

Geometry as extended XYZ:
```
5
Lattice="-0.830 -4.720 0.536 1.232 -0.785 -5.008 4.989 -0.725 1.341" Properties=species:S:1:pos:R:3 pbc="T T T"
Sc 0.000 0.000 0.000
Tl 2.494 -0.363 0.670
Tl 0.616 -0.393 -2.504
Si -0.415 -2.360 0.268
Ta 2.695 -3.115 -1.566
```

Results
Energy (eV/atom): -45.6377
Size of the total moment (μB per cell): 2.3
DOS at the Fermi energy (states/eV per atom): 0.736
Energy relative to the elements, uncorrected (eV per atom): 1.473

=====

# 3
Entry from the Alexandria database: a PBEsol-optimized structure of RbAsAu3 (SCAN).

Geometry as extended XYZ:
```
5
Lattice="5.408 0.000 0.000 0.000 5.408 0.000 0.000 0.000 5.408" Properties=species:S:1:pos:R:3 pbc="T T T"
As 2.704 2.704 2.704
Au 0.000 2.704 0.000
Au 0.000 0.000 2.704
Au 2.704 0.000 0.000
Rb 0.000 0.000 0.000
```

Results
Calculated formation energy (eV/atom): 1.731
Energy (eV/atom): -47.9489
Size of the total moment (μB per cell): 0.8
DOS at the Fermi energy (states/eV per atom): 0.481

=====

# 4
Entry from the Alexandria database: a PBEsol-optimized structure of BaZnSe2 (SCAN).

Geometry as extended XYZ:
```
4
Lattice="4.210 0.000 0.000 2.105 3.646 0.000 2.105 1.215 6.767" Properties=species:S:1:pos:R:3 pbc="T T T"
Ba 0.000 0.000 0.000
Se 2.105 1.215 2.073
Se 6.315 3.646 4.695
Zn 4.210 2.431 3.384
```

Results
Energy (eV/atom): -24.5161
Size of the total moment (μB per cell): 0.0
DOS at the Fermi energy (states/eV per atom): 0.000
Energy relative to the elements, uncorrected (eV per atom): -1.211

=====

# 5
Entry from the Alexandria database: a PBEsol-optimized structure of NbIn3Cu (SCAN).

Geometry as extended XYZ:
```
5
Lattice="5.310 0.000 0.000 0.000 5.310 0.000 0.000 0.000 5.310" Properties=species:S:1:pos:R:3 pbc="T T T"
Nb 0.000 0.000 0.000
Cu 2.655 2.655 2.655
In 0.000 2.655 0.000
In 0.000 0.000 2.655
In 2.655 0.000 0.000
```

Results
Calculated formation energy (eV/atom): 1.006
Energy (eV/atom): -28.6920
Size of the total moment (μB per cell): 0.0
DOS at the Fermi energy (states/eV per atom): 0.676

=====

# 6
Entry from the Alexandria database: a PBEsol-optimized structure of SrHf3Sn (SCAN).

Geometry as extended XYZ:
```
5
Lattice="-4.588 1.487 -1.481 -1.023 -4.693 -1.543 -1.833 -1.102 4.569" Properties=species:S:1:pos:R:3 pbc="T T T"
Sr 0.000 0.000 0.000
Hf -0.511 -2.347 -0.771
Hf -0.916 -0.551 2.285
Hf -2.294 0.743 -0.741
Sn -3.722 -2.154 0.773
```

Results
Calculated formation energy (eV/atom): 2.034
Energy (eV/atom): -47.2091
Size of the total moment (μB per cell): 0.0
DOS at the Fermi energy (states/eV per atom): 1.728

=====

# 7
Entry from the Alexandria database: a PBEsol-optimized structure of TlZnRu2 (SCAN).

Geometry as extended XYZ:
```
4
Lattice="2.857 0.000 0.000 1.429 2.474 0.000 1.429 0.825 9.071" Properties=species:S:1:pos:R:3 pbc="T T T"
Ru 1.429 0.825 9.010
Ru 4.286 2.474 7.058
Tl 2.857 1.649 4.600
Zn 1.429 0.825 2.009
```

Results
Calculated formation energy (eV/atom): 0.428
Energy (eV/atom): -38.4533
Size of the total moment (μB per cell): 0.0
DOS at the Fermi energy (states/eV per atom): 0.713

=====

# 8
Entry from the Alexandria database: a PBEsol-optimized structure of CuPtAu2 (SCAN).

Geometry as extended XYZ:
```
4
Lattice="3.983 0.000 0.000 0.000 3.983 0.000 -1.991 -1.991 3.832" Properties=species:S:1:pos:R:3 pbc="T T T"
Au 1.991 0.000 1.916
Au 0.000 1.991 1.916
Cu 1.991 1.991 0.000
Pt 0.000 0.000 0.000
```

Results
Calculated formation energy (eV/atom): -0.002
Energy (eV/atom): -55.9284
Size of the total moment (μB per cell): 0.0
DOS at the Fermi energy (states/eV per atom): 0.373